{
  "formula": "K3YAu",
  "functional": "PBE",
  "state": "relaxed",
  "dft_energy_ev_per_atom": -2.20,
  "rho_g_cm3": 2.63,
  "de_polymorph_ev_per_fu": 0.000,
  "e_form_ev_per_atom": 0.409,
  "cell": [[6.3391, 0.0000, 0.0000], [0.0000, 6.3391, 0.0000], [0.0000, 0.0000, 6.3391]],
  "species": ["K", "K", "K", "Y", "Au"],
  "frac_coords": [[0.0000, 0.0000, 0.5000], [0.0000, 0.5000, 0.0000], [0.5000, 0.0000, 0.0000], [0.5000, 0.5000, 0.5000], [0.0000, 0.0000, 0.0000]]
}